Density functional theory data (GGA-PBE) for CaRe3Ag after structural relaxation.

Computed properties:
**Size of the total moment**: 0.00 μB per cell
**DFT total energy**: -25.89 eV per cell
**N(E_F)**: 6.354 states/eV per cell
**Formation energy**: 3.262 eV per atom
**Energy above the most stable polymorph in this dataset**: 667 meV per atom

The structure in CIF format:
```
data_CaRe3Ag
_cell_length_a 4.609
_cell_length_b 4.609
_cell_length_c 4.609
_cell_angle_alpha 90.00
_cell_angle_beta 90.00
_cell_angle_gamma 90.00
_symmetry_space_group_name_H-M 'P m -3 m'
_symmetry_Int_Tables_number 221
_symmetry_space_group_name_Hall '-P 4 2 3'
loop_
_atom_site_label
_atom_site_fract_x
_atom_site_fract_y
_atom_site_fract_z
_atom_site_occupancy
Ca1 0.000 0.000 0.000 1
Re1 0.000 0.000 0.500 1
Ag1 0.500 0.500 0.500 1
```

Density functional theory data (GGA-PBE) for Hf3Zr12Bi5 after structural relaxation.

Computed properties:
**Size of the total moment**: 0.00 μB per cell
**DFT total energy**: -1126.07 eV per cell
**N(E_F)**: 170.750 states/eV per cell
**Formation energy**: 0.554 eV per atom

The structure in CIF format:
```
data_Hf3Zr12Bi5
_cell_length_a 17.116
_cell_length_b 17.116
_cell_length_c 17.116
_cell_angle_alpha 90.00
_cell_angle_beta 90.00
_cell_angle_gamma 90.00
_symmetry_space_group_name_H-M 'I a -3 d'
_symmetry_Int_Tables_number 230
_symmetry_space_group_name_Hall '-I 4bd 2c 3'
loop_
_atom_site_label
_atom_site_fract_x
_atom_site_fract_y
_atom_site_fract_z
_atom_site_occupancy
Hf1 0.000 0.250 0.125 1
Zr1 0.005 0.077 0.653 1
Bi1 0.000 0.000 0.000 1
Bi2 0.000 0.250 0.375 1
```

Density functional theory data (GGA-PBE) for Ca2H6Rh after structural relaxation.

Computed properties:
**Size of the total moment**: 0.00 μB per cell
**DFT total energy**: -68.90 eV per cell
**N(E_F)**: 5.953 states/eV per cell

The structure in CIF format:
```
data_Ca2H6Rh
_cell_length_a 4.621
_cell_length_b 4.621
_cell_length_c 9.825
_cell_angle_alpha 90.00
_cell_angle_beta 90.00
_cell_angle_gamma 90.00
_symmetry_space_group_name_H-M 'P 42/m n m'
_symmetry_Int_Tables_number 136
_symmetry_space_group_name_Hall '-P 4n 2n'
loop_
_atom_site_label
_atom_site_fract_x
_atom_site_fract_y
_atom_site_fract_z
_atom_site_occupancy
Ca1 0.000 0.000 0.164 1
H1 0.168 0.168 0.366 1
H2 0.244 0.244 0.000 1
Rh1 0.000 0.000 0.500 1
```

Density functional theory data (GGA-PBE) for SrFe5 after structural relaxation.

Computed properties:
**Size of the total moment**: 25.56 μB per cell
**DFT total energy**: -82.68 eV per cell
**N(E_F)**: 7.938 states/eV per cell
**Formation energy**: 0.443 eV per atom

The structure in CIF format:
```
data_SrFe5
_cell_length_a 3.952
_cell_length_b 3.109
_cell_length_c 16.343
_cell_angle_alpha 90.00
_cell_angle_beta 90.00
_cell_angle_gamma 90.00
_symmetry_space_group_name_H-M 'A m m 2'
_symmetry_Int_Tables_number 38
_symmetry_space_group_name_Hall 'A 2 -2'
loop_
_atom_site_label
_atom_site_fract_x
_atom_site_fract_y
_atom_site_fract_z
_atom_site_occupancy
Sr1 0.000 0.000 0.000 1
Fe1 0.000 0.000 0.297 1
Fe2 0.000 0.000 0.679 1
Fe3 0.500 0.000 0.161 1
Fe4 0.500 0.000 0.388 1
Fe5 0.500 0.000 0.781 1
```

Density functional theory data (GGA-PBE) for HfZr5Pd8 after structural relaxation.

Computed properties:
**Size of the total moment**: 0.00 μB per cell
**DFT total energy**: -203.44 eV per cell
**N(E_F)**: 24.526 states/eV per cell
**Formation energy**: -0.535 eV per atom

The structure in CIF format:
```
data_HfZr5Pd8
_cell_length_a 8.120
_cell_length_b 8.120
_cell_length_c 8.078
_cell_angle_alpha 90.00
_cell_angle_beta 90.00
_cell_angle_gamma 90.00
_symmetry_space_group_name_H-M 'I -4'
_symmetry_Int_Tables_number 82
_symmetry_space_group_name_Hall 'I -4'
loop_
_atom_site_label
_atom_site_fract_x
_atom_site_fract_y
_atom_site_fract_z
_atom_site_occupancy
Hf1 0.000 0.000 0.000 1
Zr1 0.000 0.500 0.750 1
Zr2 0.133 0.278 0.347 1
Pd1 0.069 0.161 0.673 1
Pd2 0.101 0.332 0.016 1
```

Density functional theory data (GGA-PBE) for ScCdSb2 after structural relaxation.

Computed properties:
**Size of the total moment**: 0.00 μB per cell
**DFT total energy**: -16.84 eV per cell
**N(E_F)**: 1.877 states/eV per cell
**Energy relative to the elements, uncorrected**: -0.3382 eV/atom

The structure in CIF format:
```
data_ScCdSb2
_cell_length_a 3.402
_cell_length_b 5.054
_cell_length_c 5.937
_cell_angle_alpha 90.00
_cell_angle_beta 104.47
_cell_angle_gamma 90.00
_symmetry_space_group_name_H-M 'P 1 m 1'
_symmetry_Int_Tables_number 6
_symmetry_space_group_name_Hall 'P -2y'
loop_
_atom_site_label
_atom_site_fract_x
_atom_site_fract_y
_atom_site_fract_z
_atom_site_occupancy
Sc1 0.000 0.000 0.000 1
Cd1 0.178 0.500 0.355 1
Sb1 0.430 0.500 0.874 1
Sb2 0.724 0.000 0.446 1
```

Density functional theory data (GGA-PBE) for LiAc2SbSe5 after structural relaxation.

Computed properties:
**Size of the total moment**: 0.00 μB per cell
**DFT total energy**: -177.08 eV per cell
**Energy relative to the elements, uncorrected**: -1.3995 eV/atom

The structure in CIF format:
```
data_LiAc2SbSe5
_cell_length_a 4.312
_cell_length_b 18.252
_cell_length_c 12.533
_cell_angle_alpha 90.00
_cell_angle_beta 90.00
_cell_angle_gamma 90.00
_symmetry_space_group_name_H-M 'C m c 21'
_symmetry_Int_Tables_number 36
_symmetry_space_group_name_Hall 'C 2c -2'
loop_
_atom_site_label
_atom_site_fract_x
_atom_site_fract_y
_atom_site_fract_z
_atom_site_occupancy
Li1 0.000 0.015 0.000 1
Ac1 0.000 0.377 0.822 1
Ac2 0.000 0.389 0.209 1
Sb1 0.000 0.306 0.526 1
Se1 0.000 0.002 0.801 1
Se2 0.000 0.133 0.521 1
Se3 0.000 0.199 0.865 1
Se4 0.000 0.215 0.182 1
Se5 0.000 0.447 0.579 1
```

Density functional theory data (GGA-PBE) for ZrTaVCd2 after structural relaxation.

Computed properties:
**Size of the total moment**: 0.00 μB per cell
**DFT total energy**: -24.84 eV per cell
**N(E_F)**: 4.065 states/eV per cell
**Formation energy**: 1.303 eV per atom

The structure in CIF format:
```
data_ZrTaVCd2
_cell_length_a 5.011
_cell_length_b 5.011
_cell_length_c 4.470
_cell_angle_alpha 90.00
_cell_angle_beta 90.00
_cell_angle_gamma 90.00
_symmetry_space_group_name_H-M 'P 4/m m m'
_symmetry_Int_Tables_number 123
_symmetry_space_group_name_Hall '-P 4 2'
loop_
_atom_site_label
_atom_site_fract_x
_atom_site_fract_y
_atom_site_fract_z
_atom_site_occupancy
Zr1 0.000 0.000 0.000 1
Ta1 0.500 0.500 0.000 1
V1 0.000 0.000 0.500 1
Cd1 0.000 0.500 0.500 1
```

Density functional theory data (GGA-PBE) for MgBeF after structural relaxation.

Computed properties:
**Size of the total moment**: 0.00 μB per cell
**DFT total energy**: -43.63 eV per cell
**N(E_F)**: 0.951 states/eV per cell
**Energy above the most stable polymorph in this dataset**: 107 meV per atom
**Energy relative to the elements, uncorrected**: -1.2384 eV/atom

The structure in CIF format:
```
data_MgBeF
_cell_length_a 3.026
_cell_length_b 11.537
_cell_length_c 4.360
_cell_angle_alpha 90.00
_cell_angle_beta 90.00
_cell_angle_gamma 90.00
_symmetry_space_group_name_H-M 'A m a 2'
_symmetry_Int_Tables_number 40
_symmetry_space_group_name_Hall 'A 2 -2a'
loop_
_atom_site_label
_atom_site_fract_x
_atom_site_fract_y
_atom_site_fract_z
_atom_site_occupancy
Mg1 0.250 0.122 0.000 1
Be1 0.250 0.435 0.990 1
F1 0.250 0.309 0.207 1
```

Density functional theory data (GGA-PBE) for Ce2YMg2In2 after structural relaxation.

Computed properties:
**Size of the total moment**: 7.38 μB per cell
**DFT total energy**: -84.99 eV per cell
**N(E_F)**: 36.855 states/eV per cell
**Formation energy**: -0.190 eV per atom

The structure in CIF format:
```
data_Ce2YMg2In2
_cell_length_a 4.8584
_cell_length_b 4.8584
_cell_length_c 26.6729
_cell_angle_alpha 90.00
_cell_angle_beta 90.00
_cell_angle_gamma 120.00
_symmetry_space_group_name_H-M 'R -3 m'
_symmetry_Int_Tables_number 166
_symmetry_space_group_name_Hall '-R 3 2"'
loop_
_atom_site_label
_atom_site_fract_x
_atom_site_fract_y
_atom_site_fract_z
_atom_site_occupancy
Ce1 0.0000 0.0000 0.1431 1
Y1 0.0000 0.0000 0.0000 1
Mg1 0.0000 0.0000 0.4076 1
In1 0.0000 0.0000 0.2694 1
```

Density functional theory data (GGA-PBE) for Sb3MoBr after structural relaxation.

Computed properties:
**Size of the total moment**: 2.81 μB per cell
**DFT total energy**: -17.31 eV per cell
**N(E_F)**: 2.687 states/eV per cell
**Energy above the most stable polymorph in this dataset**: 1282 meV per atom
**Energy relative to the elements, uncorrected**: 1.5132 eV/atom

The structure in CIF format:
```
data_Sb3MoBr
_cell_length_a 5.398
_cell_length_b 5.398
_cell_length_c 5.398
_cell_angle_alpha 90.00
_cell_angle_beta 90.00
_cell_angle_gamma 90.00
_symmetry_space_group_name_H-M 'P m -3 m'
_symmetry_Int_Tables_number 221
_symmetry_space_group_name_Hall '-P 4 2 3'
loop_
_atom_site_label
_atom_site_fract_x
_atom_site_fract_y
_atom_site_fract_z
_atom_site_occupancy
Sb1 0.000 0.000 0.500 1
Mo1 0.500 0.500 0.500 1
Br1 0.000 0.000 0.000 1
```

Density functional theory data (GGA-PBE) for Nd2Cd5Pb after structural relaxation.

Computed properties:
**Size of the total moment**: 0.00 μB per cell
**DFT total energy**: -80.64 eV per cell
**N(E_F)**: 16.597 states/eV per cell
**Formation energy**: -0.293 eV per atom

The structure in CIF format:
```
data_Nd2Cd5Pb
_cell_length_a 4.723
_cell_length_b 17.901
_cell_length_c 10.004
_cell_angle_alpha 90.00
_cell_angle_beta 90.00
_cell_angle_gamma 90.00
_symmetry_space_group_name_H-M 'C m c m'
_symmetry_Int_Tables_number 63
_symmetry_space_group_name_Hall '-C 2c 2'
loop_
_atom_site_label
_atom_site_fract_x
_atom_site_fract_y
_atom_site_fract_z
_atom_site_occupancy
Nd1 0.000 0.000 0.000 1
Nd2 0.000 0.195 0.250 1
Cd1 0.000 0.192 0.605 1
Cd2 0.000 0.352 0.529 1
Cd3 0.000 0.385 0.250 1
Pb1 0.000 0.456 0.750 1
```

Density functional theory data (GGA-PBE) for CaTa2Pt2 after structural relaxation.

Computed properties:
**Size of the total moment**: 0.00 μB per cell
**DFT total energy**: -78.65 eV per cell
**N(E_F)**: 10.423 states/eV per cell
**Formation energy**: -0.307 eV per atom
**Energy above the most stable polymorph in this dataset**: 123 meV per atom

The structure in CIF format:
```
data_CaTa2Pt2
_cell_length_a 8.067
_cell_length_b 8.067
_cell_length_c 2.926
_cell_angle_alpha 90.00
_cell_angle_beta 90.00
_cell_angle_gamma 90.00
_symmetry_space_group_name_H-M 'P 4/m b m'
_symmetry_Int_Tables_number 127
_symmetry_space_group_name_Hall '-P 4 2ab'
loop_
_atom_site_label
_atom_site_fract_x
_atom_site_fract_y
_atom_site_fract_z
_atom_site_occupancy
Ca1 0.000 0.000 0.000 1
Ta1 0.163 0.337 0.500 1
Pt1 0.130 0.630 0.000 1
```

Density functional theory data (GGA-PBE) for ErPuCd2Hg4 after structural relaxation.

Computed properties:
**Size of the total moment**: 16.78 μB per cell
**DFT total energy**: -71.70 eV per cell
**N(E_F)**: 45.341 states/eV per cell
**Formation energy**: -0.246 eV per atom

The structure in CIF format:
```
data_ErPuCd2Hg4
_cell_length_a 5.1131
_cell_length_b 5.1131
_cell_length_c 25.1330
_cell_angle_alpha 90.00
_cell_angle_beta 90.00
_cell_angle_gamma 120.00
_symmetry_space_group_name_H-M 'R -3 m'
_symmetry_Int_Tables_number 166
_symmetry_space_group_name_Hall '-R 3 2"'
loop_
_atom_site_label
_atom_site_fract_x
_atom_site_fract_y
_atom_site_fract_z
_atom_site_occupancy
Er1 0.0000 0.0000 0.0000 1
Pu1 0.0000 0.0000 0.5000 1
Cd1 0.0000 0.0000 0.2492 1
Hg1 0.0000 0.0000 0.1227 1
Hg2 0.0000 0.0000 0.3732 1
```

Density functional theory data (GGA-PBE) for Ba3P2PdS8 after structural relaxation.

Computed properties:
**Size of the total moment**: 0.00 μB per cell
**DFT total energy**: -69.88 eV per cell
**Energy relative to the elements, uncorrected**: -1.0770 eV/atom

The structure in CIF format:
```
data_Ba3P2PdS8
_cell_length_a 6.7249
_cell_length_b 6.7249
_cell_length_c 8.8483
_cell_angle_alpha 90.00
_cell_angle_beta 90.00
_cell_angle_gamma 120.00
_symmetry_space_group_name_H-M 'P -3 m 1'
_symmetry_Int_Tables_number 164
_symmetry_space_group_name_Hall '-P 3 2"'
loop_
_atom_site_label
_atom_site_fract_x
_atom_site_fract_y
_atom_site_fract_z
_atom_site_occupancy
Ba1 0.0000 0.0000 0.0000 1
Ba2 0.3333 0.6667 0.6314 1
P1 0.3333 0.6667 0.2152 1
Pd1 0.0000 0.0000 0.5000 1
S1 0.1676 0.3352 0.3061 1
S2 0.3333 0.6667 0.9869 1
```

Density functional theory data (GGA-PBE) for KMgHBr2 after structural relaxation.

Computed properties:
**Size of the total moment**: 0.00 μB per cell
**DFT total energy**: -15.08 eV per cell
**N(E_F)**: 0.000 states/eV per cell

The structure in CIF format:
```
data_KMgHBr2
_cell_length_a 5.552
_cell_length_b 5.552
_cell_length_c 3.877
_cell_angle_alpha 90.00
_cell_angle_beta 90.00
_cell_angle_gamma 90.00
_symmetry_space_group_name_H-M 'P 4/m m m'
_symmetry_Int_Tables_number 123
_symmetry_space_group_name_Hall '-P 4 2'
loop_
_atom_site_label
_atom_site_fract_x
_atom_site_fract_y
_atom_site_fract_z
_atom_site_occupancy
K1 0.000 0.000 0.000 1
Mg1 0.500 0.500 0.500 1
H1 0.500 0.500 0.000 1
Br1 0.000 0.500 0.500 1
```

Density functional theory data (GGA-PBE) for Cs2NaGeAu after structural relaxation.

Computed properties:
**Size of the total moment**: 0.00 μB per cell
**DFT total energy**: -11.03 eV per cell
**N(E_F)**: 2.882 states/eV per cell
**Formation energy**: -0.022 eV per atom
**Energy above the most stable polymorph in this dataset**: 0 meV per atom

The structure in CIF format:
```
data_Cs2NaGeAu
_cell_length_a 7.336
_cell_length_b 7.336
_cell_length_c 4.786
_cell_angle_alpha 90.00
_cell_angle_beta 90.00
_cell_angle_gamma 90.00
_symmetry_space_group_name_H-M 'P 4/m m m'
_symmetry_Int_Tables_number 123
_symmetry_space_group_name_Hall '-P 4 2'
loop_
_atom_site_label
_atom_site_fract_x
_atom_site_fract_y
_atom_site_fract_z
_atom_site_occupancy
Cs1 0.000 0.500 0.000 1
Na1 0.000 0.000 0.500 1
Ge1 0.500 0.500 0.500 1
Au1 0.500 0.500 0.000 1
```

Density functional theory data (GGA-PBE) for TlIn4S5Cl after structural relaxation.

Computed properties:
**Size of the total moment**: 0.00 μB per cell
**DFT total energy**: -85.38 eV per cell
**Energy relative to the elements, uncorrected**: -0.6258 eV/atom

The structure in CIF format:
```
data_TlIn4S5Cl
_cell_length_a 9.070
_cell_length_b 3.981
_cell_length_c 15.417
_cell_angle_alpha 90.00
_cell_angle_beta 94.39
_cell_angle_gamma 90.00
_symmetry_space_group_name_H-M 'P 1 21/m 1'
_symmetry_Int_Tables_number 11
_symmetry_space_group_name_Hall '-P 2yb'
loop_
_atom_site_label
_atom_site_fract_x
_atom_site_fract_y
_atom_site_fract_z
_atom_site_occupancy
Tl1 0.118 0.250 0.154 1
In1 0.157 0.750 0.447 1
In2 0.266 0.750 0.707 1
In3 0.367 0.250 0.936 1
In4 0.452 0.250 0.356 1
S1 0.036 0.750 0.598 1
S2 0.186 0.250 0.799 1
S3 0.287 0.750 0.299 1
S4 0.334 0.250 0.500 1
S5 0.465 0.250 0.099 1
Cl1 0.173 0.750 0.990 1
```

Density functional theory data (GGA-PBE) for TbPm2Sc after structural relaxation.

Computed properties:
**Size of the total moment**: 0.00 μB per cell
**DFT total energy**: -20.31 eV per cell
**N(E_F)**: 5.836 states/eV per cell
**Formation energy**: 0.038 eV per atom
**Energy above the most stable polymorph in this dataset**: 0 meV per atom

The structure in CIF format:
```
data_TbPm2Sc
_cell_length_a 5.015
_cell_length_b 5.015
_cell_length_c 4.937
_cell_angle_alpha 90.00
_cell_angle_beta 90.00
_cell_angle_gamma 90.00
_symmetry_space_group_name_H-M 'P 4/m m m'
_symmetry_Int_Tables_number 123
_symmetry_space_group_name_Hall '-P 4 2'
loop_
_atom_site_label
_atom_site_fract_x
_atom_site_fract_y
_atom_site_fract_z
_atom_site_occupancy
Tb1 0.000 0.000 0.000 1
Pm1 0.000 0.500 0.500 1
Sc1 0.500 0.500 0.000 1
```